DFT (PBE) results for a relaxed PmNdInCo crystal.

Results
ρ in g/cm3: 7.5
VASP energy in eV/atom: -4.956
Crystal system: cubic

```
PmNdInCo
1.0
-1.5234 -1.9626 4.6231
-3.4327 -3.9667 0.1640
1.5844 -4.7824 1.4710
Nd Pm Co In
1 1 1 1
direct
0.2500 0.2500 0.2500 Nd
0.7500 0.7500 0.7500 Pm
0.5000 0.5000 0.5000 Co
0.0000 0.0000 0.0000 In
```

DFT (PBE) results for a relaxed TbNdInCo crystal.

Results
ρ in g/cm3: 8.0
VASP energy in eV/atom: -4.951
Crystal system: cubic

```
TbNdInCo
1.0
5.1901 0.0000 0.0000
2.5951 4.4948 0.0000
2.5951 1.4983 4.2377
In Tb Nd Co
1 1 1 1
direct
0.0000 0.0000 0.0000 In
0.7500 0.7500 0.7500 Tb
0.2500 0.2500 0.2500 Nd
0.5000 0.5000 0.5000 Co
```

DFT (PBE) results for a relaxed Nd3Tl2In3Co crystal.

Results
ρ in g/cm3: 8.9
VASP energy in eV/atom: -4.186
Crystal system: hexagonal

```
Nd3Tl2In3Co
1.0
4.5532 0.0000 0.0000
0.0000 7.6649 0.0000
0.0000 -3.8325 6.6380
Nd Tl In Co
3 2 3 1
direct
0.0000 0.6177 0.6177 Nd
0.0000 0.3823 0.0000 Nd
0.0000 0.0000 0.3823 Nd
0.5000 0.6667 0.3333 Tl
0.5000 0.3333 0.6667 Tl
0.5000 0.7713 0.0000 In
0.5000 0.2287 0.2287 In
0.5000 0.0000 0.7713 In
0.0000 0.0000 0.0000 Co
```

DFT (PBE) results for a relaxed InCo3Ni crystal.

Results
ρ in g/cm3: 7.3
VASP energy in eV/atom: -5.103
Crystal system: cubic

```
InCo3Ni
1.0
-1.5061 -2.9862 2.7130
1.1210 -3.0916 -2.7805
3.8757 -0.2662 1.8586
Co Ni In
3 1 1
direct
0.0000 0.5000 0.0000 Co
0.5000 0.0000 0.0000 Co
0.0000 0.0000 0.5000 Co
0.0000 0.0000 0.0000 Ni
0.5000 0.5000 0.5000 In
```

DFT (PBE) results for a relaxed InCoNi2 crystal.

Results
ρ in g/cm3: 9.1
VASP energy in eV/atom: -5.221
Crystal system: orthorhombic

```
InCoNi2
1.0
-6.0499 -0.2752 -0.5480
2.6551 -3.4079 -1.0205
-1.3871 -1.6262 1.8143
Ni In Co
2 1 1
direct
0.0000 0.0000 0.0000 Ni
0.5000 0.0000 0.5000 Ni
0.5000 0.5000 0.0000 In
0.0000 0.5000 0.5000 Co
```

DFT (PBE) results for a relaxed InCoNi crystal.

Results
ρ in g/cm3: 7.8
VASP energy in eV/atom: -4.893
Crystal system: cubic

```
InCoNi
1.0
4.1132 0.0000 0.0000
2.0566 3.5622 0.0000
2.0566 1.1874 3.3584
Co Ni In
1 1 1
direct
0.0000 0.0000 0.0000 Co
0.2500 0.2500 0.2500 Ni
0.5000 0.5000 0.5000 In
```

DFT (PBE) results for a relaxed InCoNi2 crystal.

Results
ρ in g/cm3: 9.1
VASP energy in eV/atom: -5.273
Crystal system: monoclinic

```
InCoNi2
1.0
3.3755 0.0000 0.0000
0.0000 2.8209 -0.0118
0.0000 2.8579 5.5819
Ni Co In
2 1 1
direct
0.0000 0.5338 0.4664 Ni
0.0000 0.9662 0.0336 Ni
0.5000 0.2500 0.2500 Co
0.5000 0.7500 0.7500 In
```

DFT (PBE) results for a relaxed InCoNi2 crystal.

Results
ρ in g/cm3: 9.2
VASP energy in eV/atom: -5.294
Crystal system: tetragonal

```
InCoNi2
1.0
4.5431 0.0481 -0.0052
1.3385 4.3418 0.0052
-2.9373 -2.1997 2.6789
In Co Ni
1 1 2
direct
0.2500 0.7500 0.5000 In
0.7500 0.2500 0.5000 Co
0.0000 0.0000 0.0000 Ni
0.5000 0.5000 0.0000 Ni
```